[1]
A plane-wave DFT calculation with PBE was carried out for an optimized crystal structure of DyHoGa2Br2.

abc: 4.1152 4.1152 11.2457
angles: 90.00 90.00 120.00
Closest atoms and distances in Å follow each position.
Element x y z (fractional)
Dy  0.0000  0.0000  0.0000  3 Ga 2.92, 3 Br 2.96
Ho  0.0000  0.0000  0.6368  3 Ga 2.91, 3 Br 2.95
Ga  0.3333  0.6667  0.8492  3 Ga 2.48
Ga  0.6667  0.3333  0.7865  3 Ga 2.48
Br  0.3333  0.6667  0.4813  3 Ho 2.95
Br  0.6667  0.3333  0.1567  3 Dy 2.96

Values from the calculation:
* total energy: -4.303 eV per atom

[2]
A plane-wave DFT calculation with PBE was carried out for an optimized crystal structure of PmTlAg.

abc: 5.0497 5.0497 5.0497
angles: 60.00 60.00 60.00
Closest atoms and distances in Å follow each position.
Element x y z (fractional)
Pm  0.0000  0.0000  0.0000  4 Tl 3.09, 4 Ag 3.09
Tl  0.2500  0.2500  0.2500  4 Pm 3.09
Ag  0.7500  0.7500  0.7500  4 Pm 3.09

Values from the calculation:
* total energy: -3.190 eV per atom

[3]
A plane-wave DFT calculation with PBE was carried out for an optimized crystal structure of PrSm2Al2Fe4.

abc: 5.6144 5.6144 8.2015
angles: 99.45 99.45 43.36
Closest atoms and distances in Å follow each position.
Element x y z (fractional)
Pr  0.0000  0.0000  0.0000  2 Fe 2.79
Sm  0.3727  0.3727  0.6220  6 Fe 2.97-3.08, 4 Al 3.16-3.33
Sm  0.6273  0.6273  0.3780  6 Fe 2.97-3.08, 4 Al 3.16-3.33
Al  0.3272  0.3272  0.2282  5 Fe 2.48-2.50
Al  0.6728  0.6728  0.7718  5 Fe 2.48-2.50
Fe  0.0782  0.0782  0.6270  1 Fe 2.41, 2 Al 2.50
Fe  0.2503  0.2503  0.9231  2 Fe 2.43, 3 Al 2.48-2.49
Fe  0.7497  0.7497  0.0769  2 Fe 2.43, 3 Al 2.48-2.49
Fe  0.9218  0.9218  0.3730  1 Fe 2.41, 2 Al 2.50

Values from the calculation:
* total energy: -6.217 eV per atom

[4]
A plane-wave DFT calculation with PBE was carried out for an optimized crystal structure of TmNbPt.

abc: 4.5885 4.5885 4.5885
angles: 60.00 60.00 60.00
Closest atoms and distances in Å follow each position.
Element x y z (fractional)
Tm  0.0000  0.0000  0.0000  4 Pt 2.81
Nb  0.5000  0.5000  0.5000  4 Pt 2.81
Pt  0.7500  0.7500  0.7500  4 Nb 2.81, 4 Tm 2.81

Values from the calculation:
* formation energy: -278 meV/atom

[5]
A plane-wave DFT calculation with PBE was carried out for an optimized crystal structure of HoNp.

abc: 4.6818 4.6818 4.6818
angles: 60.00 60.00 60.00
Closest atoms and distances in Å follow each position.
Element x y z (fractional)
Ho  0.0000  0.0000  0.0000  4 Np 2.87
Np  0.7500  0.7500  0.7500  4 Ho 2.87

Values from the calculation:
* formation energy: 2320 meV/atom

[6]
A plane-wave DFT calculation with PBE was carried out for an optimized crystal structure of GdDy2Mg3Ga3.

abc: 4.4358 7.3014 7.3014
angles: 120.17 90.00 90.00
Closest atoms and distances in Å follow each position.
Element x y z (fractional)
Gd  0.0000  0.0000  0.0000  5 Ga 3.11-3.13, 2 Mg 3.27
Dy  0.0000  0.4271  0.8538  5 Ga 3.10-3.11, 2 Mg 3.28
Dy  0.0000  0.8538  0.4271  5 Ga 3.10-3.11, 2 Mg 3.28
Mg  0.5000  0.1845  0.4276  4 Ga 2.81-2.84, 2 Mg 3.07-3.08
Mg  0.5000  0.4276  0.1845  4 Ga 2.81-2.84, 2 Mg 3.07-3.08
Mg  0.5000  0.6705  0.6705  4 Ga 2.83, 2 Mg 3.07
Ga  0.0000  0.4292  0.4292  6 Mg 2.83-2.84, 2 Dy 3.11, 1 Gd 3.13
Ga  0.5000  0.0948  0.7596  3 Mg 2.81-2.83, 4 Dy 3.10, 2 Gd 3.11
Ga  0.5000  0.7596  0.0948  3 Mg 2.81-2.83, 4 Dy 3.10, 2 Gd 3.11

Values from the calculation:
* total energy: -3.564 eV per atom

[7]
A plane-wave DFT calculation with PBE was carried out for an optimized crystal structure of LiMo2Pb.

abc: 4.5708 4.5708 4.5708
angles: 60.00 60.00 60.00
Closest atoms and distances in Å follow each position.
Element x y z (fractional)
Li  0.0000  0.0000  0.0000  4 Pb 2.80, 4 Mo 2.80
Mo  0.2500  0.2500  0.2500  4 Mo 2.80, 4 Li 2.80
Mo  0.5000  0.5000  0.5000  4 Pb 2.80, 4 Mo 2.80
Pb  0.7500  0.7500  0.7500  4 Mo 2.80, 4 Li 2.80

Values from the calculation:
* total energy: -6.441 eV per atom

[8]
A plane-wave DFT calculation with PBE was carried out for an optimized crystal structure of Fe3Pt.

abc: 4.8644 4.8644 2.5434
angles: 90.00 90.00 90.00
Closest atoms and distances in Å follow each position.
Element x y z (fractional)
Fe  0.0000  0.0000  0.0000  6 Fe 2.43-2.54
Fe  0.0000  0.5000  0.0000  2 Pt 2.43, 4 Fe 2.43-2.54
Fe  0.5000  0.0000  0.0000  2 Pt 2.43, 4 Fe 2.43-2.54
Pt  0.5000  0.5000  0.0000  4 Fe 2.43, 2 Pt 2.54

Values from the calculation:
* formation energy: 671 meV/atom

[9]
A plane-wave DFT calculation with PBE was carried out for an optimized crystal structure of SnSbOs.

abc: 4.5411 4.5411 4.5411
angles: 60.00 60.00 60.00
Closest atoms and distances in Å follow each position.
Element x y z (fractional)
Sn  0.0000  0.0000  0.0000  4 Os 2.78
Sb  0.5000  0.5000  0.5000  4 Os 2.78
Os  0.7500  0.7500  0.7500  4 Sn 2.78, 4 Sb 2.78

Values from the calculation:
* total energy: -6.266 eV per atom

[10]
A plane-wave DFT calculation with PBE was carried out for an optimized crystal structure of Nd2NiGe6.

abc: 4.1512 11.1468 11.1468
angles: 21.05 90.00 90.00
Closest atoms and distances in Å follow each position.
Element x y z (fractional)
Nd  0.0000  0.0000  0.0000  10 Ge 3.07-3.30
Nd  0.0000  0.3340  0.3340  10 Ge 3.10-3.37, 4 Ni 3.18
Ni  0.5000  0.7755  0.7755  5 Ge 2.36-2.40
Ge  0.0000  0.6066  0.6066  1 Ge 2.50
Ge  0.0000  0.7206  0.7206  2 Ni 2.40, 1 Ge 2.50
Ge  0.5000  0.1054  0.1054  1 Ge 2.51
Ge  0.5000  0.2199  0.2199  2 Ni 2.37, 1 Ge 2.51
Ge  0.5000  0.4553  0.4553  2 Ge 2.58
Ge  0.5000  0.8832  0.8832  1 Ni 2.36, 2 Ge 2.58

Values from the calculation:
* total energy: -5.292 eV per atom

[11]
A plane-wave DFT calculation with PBE was carried out for an optimized crystal structure of Ga2PtCl2F6.

abc: 6.1785 6.1785 5.7132
angles: 93.49 93.49 56.81
Closest atoms and distances in Å follow each position.
Element x y z (fractional)
Ga  0.2348  0.2348  0.3189  3 F 1.77-1.90
Ga  0.7652  0.7652  0.6811  3 F 1.77-1.90
Pt  0.0000  0.0000  0.0000  4 F 2.03
Cl  0.4204  0.4204  0.2592  1 Ga 2.07
Cl  0.5796  0.5796  0.7408  1 Ga 2.07
F  0.0856  0.6617  0.8380  1 Ga 1.90, 1 Pt 2.03
F  0.1963  0.1963  0.6154  1 Ga 1.77
F  0.3383  0.9144  0.1620  1 Ga 1.90, 1 Pt 2.03
F  0.6617  0.0856  0.8380  1 Ga 1.90, 1 Pt 2.03
F  0.8037  0.8037  0.3846  1 Ga 1.77
F  0.9144  0.3383  0.1620  1 Ga 1.90, 1 Pt 2.03

Values from the calculation:
* total energy: -4.035 eV per atom

[12]
A plane-wave DFT calculation with PBE was carried out for an optimized crystal structure of IrCl3.

abc: 11.6526 11.0996 6.0977
angles: 79.53 69.50 30.97
Closest atoms and distances in Å follow each position.
Element x y z (fractional)
Ir  0.0417  0.0417  0.2083  6 Cl 2.36
Ir  0.2083  0.2083  0.0417  6 Cl 2.36
Ir  0.7917  0.7917  0.9583  6 Cl 2.36
Ir  0.9583  0.9583  0.7917  6 Cl 2.36
Cl  0.0365  0.5387  0.1867  2 Ir 2.36
Cl  0.1007  0.6493  0.6493  2 Ir 2.36
Cl  0.1867  0.7382  0.0365  2 Ir 2.36
Cl  0.2618  0.8133  0.4613  2 Ir 2.36
Cl  0.3507  0.8993  0.8993  2 Ir 2.36
Cl  0.4613  0.9635  0.2618  2 Ir 2.36
Cl  0.5387  0.0365  0.7382  2 Ir 2.36
Cl  0.6493  0.1007  0.1007  2 Ir 2.36
Cl  0.7382  0.1867  0.5387  2 Ir 2.36
Cl  0.8133  0.2618  0.9635  2 Ir 2.36
Cl  0.8993  0.3507  0.3507  2 Ir 2.36
Cl  0.9635  0.4613  0.8133  2 Ir 2.36

Values from the calculation:
* total energy: -4.076 eV per atom

The records above yield magnetic moment values of 0.002; 0.009; 0.541; 0.002; 2.959; 0.001; 0.001; 2.188; 0.000; 0.000; 0.000; 0.000 μB per atom, respectively.